Entry 1:
Density functional theory data (GGA-PBE) for an optimized crystal structure of Ta2PN.

Output
Total energy ... -80.90 eV per cell

a = 3.147 Å, b = 3.147 Å, c = 12.234 Å
α = 90.00°, β = 90.00°, γ = 120.00°
Sites, in units of the cell vectors:
Ta: 0.333 0.667 0.108
Ta: 0.333 0.667 0.392
Ta: 0.667 0.333 0.608
Ta: 0.667 0.333 0.892
P: 0.333 0.667 0.750
P: 0.667 0.333 0.250
N: 0.000 0.000 0.000
N: 0.000 0.000 0.500

=====

Entry 2:
Density functional theory data (GGA-PBE) for an optimized crystal structure of BaTb2S4.

Output
Total energy ... -170.70 eV per cell

a = 12.316 Å, b = 4.069 Å, c = 14.608 Å
α = 90.00°, β = 90.00°, γ = 90.00°
Sites, in units of the cell vectors:
Ba: 0.242 0.250 0.161
Ba: 0.258 0.750 0.661
Ba: 0.742 0.250 0.339
Ba: 0.758 0.750 0.839
Tb: 0.068 0.250 0.391
Tb: 0.079 0.250 0.898
Tb: 0.421 0.750 0.398
Tb: 0.432 0.750 0.891
Tb: 0.568 0.250 0.109
Tb: 0.579 0.250 0.602
Tb: 0.921 0.750 0.102
Tb: 0.932 0.750 0.609
S: 0.023 0.750 0.783
S: 0.081 0.250 0.577
S: 0.125 0.750 0.024
S: 0.207 0.750 0.335
S: 0.293 0.250 0.835
S: 0.375 0.250 0.524
S: 0.419 0.750 0.077
S: 0.477 0.250 0.283
S: 0.523 0.750 0.717
S: 0.581 0.250 0.923
S: 0.625 0.750 0.476
S: 0.707 0.750 0.165
S: 0.793 0.250 0.665
S: 0.875 0.250 0.976
S: 0.919 0.750 0.423
S: 0.977 0.250 0.217

=====

- What is the total energy in the second record?
  -170.70 eV per cell